1.
Entry from the Alexandria database: a relaxed structure of LuMnRuRh (PBE-GGA).

Lattice parameters (Å, degrees): 4.5032 4.5032 4.5032 60.00 60.00 60.00
With the nearest neighbours (Å) after each atom.
Positions (direct):
Ru  0.2500  0.2500  0.2500  4 Mn 2.76, 4 Lu 2.76
Rh  0.7500  0.7500  0.7500  4 Mn 2.76, 4 Lu 2.76
Mn  0.5000  0.5000  0.5000  4 Ru 2.76, 4 Rh 2.76
Lu  0.0000  0.0000  0.0000  4 Ru 2.76, 4 Rh 2.76

N(E_F) (states/eV/f.u.): 5.12
Calculated formation energy (kJ per mole of atoms): -31.9
Electronic total energy (eV for the cell shown): -31.64


2.
Entry from the Alexandria database: a relaxed structure of TmLuMnRh (PBE-GGA).

Lattice parameters (Å, degrees): 4.8253 4.8253 4.8253 60.00 60.00 60.00
With the nearest neighbours (Å) after each atom.
Positions (direct):
Lu  0.2500  0.2500  0.2500  4 Rh 2.95, 4 Mn 2.95
Rh  0.0000  0.0000  0.0000  4 Lu 2.95, 4 Tm 2.95
Tm  0.7500  0.7500  0.7500  4 Rh 2.95, 4 Mn 2.95
Mn  0.5000  0.5000  0.5000  4 Tm 2.95, 4 Lu 2.95

N(E_F) (states/eV/f.u.): 4.46
Calculated formation energy (kJ per mole of atoms): -34.2
Electronic total energy (eV for the cell shown): -26.93


3.
Entry from the Alexandria database: a relaxed structure of YLuMnRh (PBE-GGA).

Lattice parameters (Å, degrees): 4.8785 4.8785 4.8785 60.00 60.00 60.00
With the nearest neighbours (Å) after each atom.
Positions (direct):
Lu  0.7500  0.7500  0.7500  4 Rh 2.99, 4 Mn 2.99
Mn  0.5000  0.5000  0.5000  4 Lu 2.99, 4 Y 2.99
Y  0.2500  0.2500  0.2500  4 Mn 2.99, 4 Rh 2.99
Rh  0.0000  0.0000  0.0000  4 Y 2.99, 4 Lu 2.99

N(E_F) (states/eV/f.u.): 4.54
Calculated formation energy (kJ per mole of atoms): -29.5
Electronic total energy (eV for the cell shown): -28.73


4.
Entry from the Alexandria database: a relaxed structure of LuScMnRu (PBE-GGA).

Lattice parameters (Å, degrees): 4.6979 4.6979 4.6979 60.00 60.00 60.00
With the nearest neighbours (Å) after each atom.
Positions (direct):
Sc  0.0000  0.0000  0.0000  4 Mn 2.88, 4 Ru 2.88
Lu  0.5000  0.5000  0.5000  4 Ru 2.88, 4 Mn 2.88
Ru  0.7500  0.7500  0.7500  4 Lu 2.88, 4 Sc 2.88
Mn  0.2500  0.2500  0.2500  4 Sc 2.88, 4 Lu 2.88

N(E_F) (states/eV/f.u.): 4.28
Calculated formation energy (kJ per mole of atoms): -19.3
Electronic total energy (eV for the cell shown): -30.10


5.
Entry from the Alexandria database: a relaxed structure of LuThMnRu (PBE-GGA).

Lattice parameters (Å, degrees): 4.8987 4.8987 4.8987 60.00 60.00 60.00
With the nearest neighbours (Å) after each atom.
Positions (direct):
Mn  0.7500  0.7500  0.7500  4 Th 3.00, 4 Lu 3.00
Lu  0.0000  0.0000  0.0000  4 Mn 3.00, 4 Ru 3.00
Th  0.5000  0.5000  0.5000  4 Mn 3.00, 4 Ru 3.00
Ru  0.2500  0.2500  0.2500  4 Lu 3.00, 4 Th 3.00

N(E_F) (states/eV/f.u.): 3.18
Calculated formation energy (kJ per mole of atoms): -14.0
Electronic total energy (eV for the cell shown): -30.97


6.
Entry from the Alexandria database: a relaxed structure of LuMnRuW (PBE-GGA).

Lattice parameters (Å, degrees): 4.4651 4.4651 4.4651 60.00 60.00 60.00
With the nearest neighbours (Å) after each atom.
Positions (direct):
Ru  0.0000  0.0000  0.0000  4 Lu 2.73, 4 W 2.73
W  0.7500  0.7500  0.7500  4 Ru 2.73, 4 Mn 2.73
Mn  0.5000  0.5000  0.5000  4 W 2.73, 4 Lu 2.73
Lu  0.2500  0.2500  0.2500  4 Mn 2.73, 4 Ru 2.73

N(E_F) (states/eV/f.u.): 1.56
Calculated formation energy (kJ per mole of atoms): -0.8
Electronic total energy (eV for the cell shown): -35.95


7.
Entry from the Alexandria database: a relaxed structure of LuMnZnRu (PBE-GGA).

Lattice parameters (Å, degrees): 4.5223 4.5223 4.5223 60.00 60.00 60.00
With the nearest neighbours (Å) after each atom.
Positions (direct):
Mn  0.5000  0.5000  0.5000  4 Ru 2.77, 4 Lu 2.77
Zn  0.0000  0.0000  0.0000  4 Lu 2.77, 4 Ru 2.77
Ru  0.2500  0.2500  0.2500  4 Mn 2.77, 4 Zn 2.77
Lu  0.7500  0.7500  0.7500  4 Zn 2.77, 4 Mn 2.77

N(E_F) (states/eV/f.u.): 3.66
Calculated formation energy (kJ per mole of atoms): -4.2
Electronic total energy (eV for the cell shown): -24.41


8.
Entry from the Alexandria database: a relaxed structure of Lu6MnSb2 (PBE-GGA).

Lattice parameters (Å, degrees): 4.1407 7.9813 7.9813 120.00 90.00 90.00
With the nearest neighbours (Å) after each atom.
Positions (direct):
Sb  0.5000  0.3333  0.6667  9 Lu 3.14-3.22
Sb  0.5000  0.6667  0.3333  9 Lu 3.14-3.22
Lu  0.5000  0.2333  0.2333  2 Mn 2.78
Lu  0.5000  0.7667  0.0000  2 Mn 2.78
Lu  0.0000  0.6110  0.6110  1 Mn 3.11, 4 Sb 3.22, 4 Lu 3.41
Mn  0.0000  0.0000  0.0000  9 Lu 2.78-3.11
Lu  0.0000  0.3890  0.0000  1 Mn 3.11, 4 Sb 3.22, 4 Lu 3.41
Lu  0.0000  0.0000  0.3890  1 Mn 3.11, 4 Sb 3.22, 4 Lu 3.41
Lu  0.5000  0.0000  0.7667  2 Mn 2.78

N(E_F) (states/eV/f.u.): 4.68
Electronic total energy (eV for the cell shown): -49.27
ΔE_f (raw) (eV/atom): -0.53


9.
Entry from the Alexandria database: a relaxed structure of LuScMn2 (PBE-GGA).

Lattice parameters (Å, degrees): 3.3732 3.3732 6.5941 90.00 90.00 90.00
With the nearest neighbours (Å) after each atom.
Positions (direct):
Mn  0.0000  0.0000  0.7788  4 Sc 2.80, 1 Mn 2.92, 4 Lu 3.01
Sc  0.5000  0.5000  0.0000  8 Mn 2.80
Mn  0.0000  0.0000  0.2212  4 Sc 2.80, 1 Mn 2.92, 4 Lu 3.01
Lu  0.5000  0.5000  0.5000  8 Mn 3.01, 2 Sc 3.30

N(E_F) (states/eV/f.u.): 5.30
Calculated formation energy (kJ per mole of atoms): 11.4
Electronic total energy (eV for the cell shown): -28.72


10.
Entry from the Alexandria database: a relaxed structure of Lu2ScMn (PBE-GGA).

Lattice parameters (Å, degrees): 3.4040 3.4040 8.1889 90.00 90.00 90.00
With the nearest neighbours (Å) after each atom.
Positions (direct):
Sc  0.5000  0.5000  0.5000  8 Lu 3.39, 4 Sc 3.40
Lu  0.0000  0.0000  0.2085  4 Mn 2.95
Lu  0.0000  0.0000  0.7915  4 Mn 2.95
Mn  0.5000  0.5000  0.0000  8 Lu 2.95

N(E_F) (states/eV/f.u.): 5.93
Calculated formation energy (kJ per mole of atoms): 9.7
Electronic total energy (eV for the cell shown): -24.14


11.
Entry from the Alexandria database: a relaxed structure of LuScMn4 (PBE-GGA).

Lattice parameters (Å, degrees): 4.9723 4.9723 4.9723 60.00 60.00 60.00
With the nearest neighbours (Å) after each atom.
Positions (direct):
Mn  0.6253  0.6253  0.6253  6 Mn 2.48-2.49
Mn  0.1242  0.6253  0.6253  6 Mn 2.48-2.49
Mn  0.6253  0.6253  0.1242  6 Mn 2.48-2.49
Sc  0.0000  0.0000  0.0000  12 Mn 2.91, 4 Lu 3.04
Mn  0.6253  0.1242  0.6253  6 Mn 2.48-2.49
Lu  0.2500  0.2500  0.2500  12 Mn 2.92, 4 Sc 3.04

N(E_F) (states/eV/f.u.): 7.42
Calculated formation energy (kJ per mole of atoms): -4.6
Electronic total energy (eV for the cell shown): -47.81


12.
Entry from the Alexandria database: a relaxed structure of Lu2ScMn (PBE-GGA).

Lattice parameters (Å, degrees): 4.1400 4.7698 4.7698 90.00 90.00 90.00
With the nearest neighbours (Å) after each atom.
Positions (direct):
Sc  0.5000  0.0000  0.0000  8 Lu 3.16, 4 Mn 3.37
Lu  0.0000  0.0000  0.5000  4 Mn 3.16, 4 Sc 3.16, 4 Lu 3.37
Lu  0.0000  0.5000  0.0000  4 Mn 3.16, 4 Sc 3.16, 4 Lu 3.37
Mn  0.5000  0.5000  0.5000  8 Lu 3.16, 4 Sc 3.37

N(E_F) (states/eV/f.u.): 3.90
Calculated formation energy (kJ per mole of atoms): 15.3
Electronic total energy (eV for the cell shown): -23.91